# 1
{"formula": "Ce3Pm2Pt4", "functional": "PBE-GGA", "state": "relaxed", "total_energy_ev_per_atom": -6.728, "relative_energy_ev_per_atom": 0.000, "formation_enthalpy_0k_ev_per_atom": -1.01, "mass_density_g_cm3": 11.3, "lattice_angstrom": [[8.044, 0.000, 0.000], [0.000, 7.727, 0.000], [-2.589, 0.000, 7.079]], "species": ["Ce", "Ce", "Ce", "Ce", "Ce", "Ce", "Pm", "Pm", "Pm", "Pm", "Pt", "Pt", "Pt", "Pt", "Pt", "Pt", "Pt", "Pt"], "fractional_positions": [[0.000, 0.000, 0.000], [0.000, 0.500, 0.500], [0.261, 0.162, 0.758], [0.261, 0.338, 0.258], [0.739, 0.662, 0.742], [0.739, 0.838, 0.242], [0.310, 0.678, 0.932], [0.310, 0.822, 0.432], [0.690, 0.178, 0.568], [0.690, 0.322, 0.068], [0.001, 0.634, 0.133], [0.001, 0.866, 0.633], [0.423, 0.043, 0.159], [0.423, 0.457, 0.659], [0.577, 0.543, 0.341], [0.577, 0.957, 0.841], [0.999, 0.134, 0.367], [0.999, 0.366, 0.867]]}

# 2
{"formula": "CePmPt", "functional": "PBE-GGA", "state": "relaxed", "total_energy_ev_per_atom": -6.322, "relative_energy_ev_per_atom": 0.005, "formation_enthalpy_0k_ev_per_atom": -0.75, "mass_density_g_cm3": 10.3, "lattice_angstrom": [[-4.718, 6.603, 3.741], [4.718, -6.603, 3.741], [4.718, 6.603, -3.741]], "species": ["Ce", "Ce", "Ce", "Ce", "Ce", "Ce", "Pm", "Pm", "Pm", "Pm", "Pm", "Pm", "Pt", "Pt", "Pt", "Pt", "Pt", "Pt"], "fractional_positions": [[0.000, 0.000, 0.000], [0.000, 0.500, 0.500], [0.501, 0.151, 0.388], [0.501, 0.613, 0.849], [0.763, 0.113, 0.612], [0.763, 0.651, 0.151], [0.159, 0.210, 0.449], [0.189, 0.723, 0.966], [0.335, 0.592, 0.243], [0.348, 0.092, 0.757], [0.757, 0.223, 0.034], [0.762, 0.710, 0.551], [0.093, 0.262, 0.843], [0.093, 0.751, 0.331], [0.419, 0.251, 0.157], [0.419, 0.762, 0.669], [0.712, 0.994, 0.218], [0.775, 0.494, 0.782]]}

# 3
{"formula": "Ce3PmPt4", "functional": "PBE-GGA", "state": "relaxed", "total_energy_ev_per_atom": -6.743, "relative_energy_ev_per_atom": 0.158, "formation_enthalpy_0k_ev_per_atom": -0.90, "mass_density_g_cm3": 11.1, "lattice_angstrom": [[-1.915, 3.375, 7.789], [1.915, -3.375, 7.789], [1.915, 3.375, -7.789]], "species": ["Ce", "Ce", "Ce", "Pm", "Pt", "Pt", "Pt", "Pt"], "fractional_positions": [[0.000, 0.000, 0.000], [0.299, 0.799, 0.500], [0.701, 0.201, 0.500], [0.500, 0.500, 0.000], [0.074, 0.368, 0.706], [0.337, 0.632, 0.706], [0.663, 0.368, 0.294], [0.926, 0.632, 0.294]]}

# 4
{"formula": "CePmPt2", "functional": "PBE-GGA", "state": "relaxed", "total_energy_ev_per_atom": -6.828, "relative_energy_ev_per_atom": 0.001, "formation_enthalpy_0k_ev_per_atom": -1.14, "mass_density_g_cm3": 11.8, "lattice_angstrom": [[5.827, 0.000, 0.000], [0.000, 4.472, 0.000], [-2.565, 0.000, 7.281]], "species": ["Ce", "Ce", "Pm", "Pm", "Pt", "Pt", "Pt", "Pt"], "fractional_positions": [[0.232, 0.250, 0.183], [0.768, 0.750, 0.817], [0.220, 0.250, 0.680], [0.780, 0.750, 0.320], [0.310, 0.750, 0.956], [0.321, 0.750, 0.452], [0.679, 0.250, 0.548], [0.690, 0.250, 0.044]]}

# 5
{"formula": "CePmPt2", "functional": "PBE-GGA", "state": "relaxed", "total_energy_ev_per_atom": -6.829, "relative_energy_ev_per_atom": 0.000, "formation_enthalpy_0k_ev_per_atom": -1.14, "mass_density_g_cm3": 11.8, "lattice_angstrom": [[4.512, 0.000, 0.000], [0.000, 1.922, 5.469], [0.000, -1.922, 5.469]], "species": ["Ce", "Pm", "Pt", "Pt"], "fractional_positions": [[0.000, 0.000, 0.000], [0.500, 0.727, 0.727], [0.000, 0.275, 0.275], [0.500, 0.459, 0.459]]}

# 6
{"formula": "CePmPt4", "functional": "PBE-GGA", "state": "relaxed", "total_energy_ev_per_atom": -6.851, "formation_enthalpy_0k_ev_per_atom": -1.04, "mass_density_g_cm3": 15.1, "lattice_angstrom": [[0.000, 3.886, 3.886], [3.886, 0.000, 3.886], [3.886, 3.886, 0.000]], "species": ["Ce", "Pm", "Pt", "Pt", "Pt", "Pt"], "fractional_positions": [[0.000, 0.000, 0.000], [0.250, 0.250, 0.250], [0.125, 0.625, 0.625], [0.625, 0.125, 0.625], [0.625, 0.625, 0.125], [0.625, 0.625, 0.625]]}

# 7
{"formula": "CePmPt", "functional": "PBE-GGA", "state": "relaxed", "total_energy_ev_per_atom": -6.327, "relative_energy_ev_per_atom": 0.000, "formation_enthalpy_0k_ev_per_atom": -0.75, "mass_density_g_cm3": 10.3, "lattice_angstrom": [[4.016, 0.000, 0.000], [0.000, 4.563, 0.000], [-0.130, 0.000, 8.414]], "species": ["Ce", "Ce", "Pm", "Pm", "Pt", "Pt"], "fractional_positions": [[0.204, 0.250, 0.467], [0.796, 0.750, 0.533], [0.256, 0.750, 0.136], [0.744, 0.250, 0.864], [0.267, 0.750, 0.786], [0.733, 0.250, 0.214]]}

# 8
{"formula": "CePm5Pt4", "functional": "PBE-GGA", "state": "relaxed", "total_energy_ev_per_atom": -6.250, "formation_enthalpy_0k_ev_per_atom": -0.86, "mass_density_g_cm3": 9.2, "lattice_angstrom": [[9.045, -2.105, 0.000], [9.045, 2.105, 0.000], [-2.235, 0.000, 7.759]], "species": ["Ce", "Pm", "Pm", "Pm", "Pm", "Pm", "Pt", "Pt", "Pt", "Pt"], "fractional_positions": [[0.000, 0.000, 0.000], [0.000, 0.000, 0.500], [0.333, 0.333, 0.140], [0.334, 0.334, 0.650], [0.666, 0.666, 0.350], [0.667, 0.667, 0.860], [0.170, 0.170, 0.112], [0.498, 0.498, 0.747], [0.502, 0.502, 0.253], [0.830, 0.830, 0.888]]}

# 9
{"formula": "CePm3Pt", "functional": "PBE-GGA", "state": "relaxed", "total_energy_ev_per_atom": -5.619, "formation_enthalpy_0k_ev_per_atom": -0.37, "mass_density_g_cm3": 8.4, "lattice_angstrom": [[6.878, 0.000, 0.000], [0.000, 6.785, 0.000], [-0.058, 0.000, 13.027]], "species": ["Ce", "Ce", "Ce", "Ce", "Pm", "Pm", "Pm", "Pm", "Pm", "Pm", "Pm", "Pm", "Pm", "Pm", "Pm", "Pm", "Pt", "Pt", "Pt", "Pt"], "fractional_positions": [[0.194, 0.030, 0.277], [0.194, 0.970, 0.777], [0.806, 0.030, 0.223], [0.806, 0.970, 0.723], [0.100, 0.248, 0.530], [0.100, 0.752, 0.030], [0.245, 0.476, 0.790], [0.245, 0.524, 0.290], [0.398, 0.248, 0.060], [0.398, 0.752, 0.560], [0.602, 0.248, 0.440], [0.602, 0.752, 0.940], [0.755, 0.476, 0.710], [0.755, 0.524, 0.210], [0.900, 0.248, 0.970], [0.900, 0.752, 0.470], [0.456, 0.192, 0.641], [0.456, 0.808, 0.141], [0.544, 0.192, 0.859], [0.544, 0.808, 0.359]]}

# 10
{"formula": "CePm2Pt3", "functional": "PBE-GGA", "state": "relaxed", "total_energy_ev_per_atom": -6.664, "formation_enthalpy_0k_ev_per_atom": -1.07, "mass_density_g_cm3": 11.1, "lattice_angstrom": [[-2.075, 2.940, 6.248], [2.075, -2.940, 6.248], [2.075, 2.940, -6.248]], "species": ["Ce", "Pm", "Pm", "Pt", "Pt", "Pt"], "fractional_positions": [[0.000, 0.000, 0.000], [0.332, 0.332, 0.000], [0.668, 0.668, 0.000], [0.161, 0.661, 0.500], [0.500, 0.000, 0.500], [0.839, 0.339, 0.500]]}

# 11
{"formula": "Ce2PmPt", "functional": "PBE-GGA", "state": "relaxed", "total_energy_ev_per_atom": -6.206, "relative_energy_ev_per_atom": 0.000, "formation_enthalpy_0k_ev_per_atom": -0.54, "mass_density_g_cm3": 9.5, "lattice_angstrom": [[1.872, -5.733, 0.000], [1.872, 5.733, 0.000], [0.000, 0.000, 10.147]], "species": ["Ce", "Ce", "Ce", "Ce", "Pm", "Pm", "Pt", "Pt"], "fractional_positions": [[0.136, 0.864, 0.550], [0.136, 0.864, 0.950], [0.864, 0.136, 0.050], [0.864, 0.136, 0.450], [0.421, 0.579, 0.750], [0.579, 0.421, 0.250], [0.292, 0.708, 0.250], [0.708, 0.292, 0.750]]}

# 12
{"formula": "Ce3Pm2Pt4", "functional": "PBE-GGA", "state": "relaxed", "total_energy_ev_per_atom": -6.637, "relative_energy_ev_per_atom": 0.092, "formation_enthalpy_0k_ev_per_atom": -0.92, "mass_density_g_cm3": 10.7, "lattice_angstrom": [[3.726, -7.886, 0.000], [3.726, 7.886, 0.000], [0.000, 0.000, 7.839]], "species": ["Ce", "Ce", "Ce", "Ce", "Ce", "Ce", "Pm", "Pm", "Pm", "Pm", "Pt", "Pt", "Pt", "Pt", "Pt", "Pt", "Pt", "Pt"], "fractional_positions": [[0.000, 0.000, 0.000], [0.040, 0.460, 0.250], [0.460, 0.040, 0.750], [0.500, 0.500, 0.500], [0.540, 0.960, 0.250], [0.960, 0.540, 0.750], [0.101, 0.899, 0.408], [0.399, 0.601, 0.908], [0.601, 0.399, 0.092], [0.899, 0.101, 0.592], [0.200, 0.800, 0.042], [0.222, 0.278, 0.250], [0.278, 0.222, 0.750], [0.300, 0.700, 0.542], [0.700, 0.300, 0.458], [0.722, 0.778, 0.250], [0.778, 0.722, 0.750], [0.800, 0.200, 0.958]]}